## Sr2LaAg (PBEsol)

Data for a relaxed structure of Sr2LaAg.

a b c (Å): 5.714 5.714 5.714
angles (deg): 60.00 60.00 60.00
Element x y z (fractional)
Ag 0.000 0.000 0.000
La 0.500 0.500 0.500
Sr 0.250 0.250 0.250
Sr 0.750 0.750 0.750

## Properties
* total magnetization: 0.10 μB per atom
* energy above the most stable polymorph in this dataset: 1.278 eV per formula unit
* E_form: 0.265 eV/atom
* DOS at the Fermi energy: 1.129 states/eV per atom
* space group: Fm-3m

=====

## La3TaAg (PBEsol)

Data for a relaxed structure of La3TaAg.

a b c (Å): 5.583 5.583 5.583
angles (deg): 90.00 90.00 90.00
Element x y z (fractional)
La 0.000 0.500 0.000
La 0.000 0.000 0.500
La 0.500 0.000 0.000
Ag 0.000 0.000 0.000
Ta 0.500 0.500 0.500

## Properties
* total magnetization: 0.50 μB per atom
* E_form: 1.106 eV/atom
* DOS at the Fermi energy: 2.035 states/eV per atom
* space group: Pm-3m

=====

## LaTa4Ag (PBEsol)

Data for a relaxed structure of LaTa4Ag.

a b c (Å): 5.594 5.594 5.594
angles (deg): 60.00 60.00 60.00
Element x y z (fractional)
Ag 0.750 0.750 0.750
La 0.000 0.000 0.000
Ta 0.374 0.374 0.374
Ta 0.374 0.374 0.879
Ta 0.879 0.374 0.374
Ta 0.374 0.879 0.374

## Properties
* total magnetization: 0.00 μB per atom
* E_form: 0.529 eV/atom
* DOS at the Fermi energy: 1.308 states/eV per atom
* space group: F-43m

=====

## LaTaAg (PBEsol)

Data for a relaxed structure of LaTaAg.

a b c (Å): 2.992 5.004 5.004
angles (deg): 120.00 90.00 90.00
Element x y z (fractional)
La 0.000 0.333 0.667
Ag 0.500 0.000 0.000
Ta 0.500 0.667 0.333

## Properties
* total magnetization: 0.00 μB per atom
* E_form: 0.513 eV/atom
* DOS at the Fermi energy: 0.911 states/eV per atom
* space group: P-6m2

=====

## La2TcAg (PBEsol)

Data for a relaxed structure of La2TcAg.

a b c (Å): 3.512 3.512 7.732
angles (deg): 90.10 90.00 90.00
Element x y z (fractional)
Tc 0.500 0.500 0.500
Ag 0.500 0.500 0.000
La 0.000 0.999 0.722
La 0.000 0.001 0.278

## Properties
* total magnetization: 0.00 μB per atom
* E_form: -0.012 eV/atom
* DOS at the Fermi energy: 0.412 states/eV per atom
* space group: P2/m

=====

## La2TcAg (PBEsol)

Data for a relaxed structure of La2TcAg.

a b c (Å): 4.418 4.418 5.508
angles (deg): 113.64 113.64 90.00
Element x y z (fractional)
Ag 0.250 0.750 0.500
La 0.000 0.000 0.000
La 0.750 0.250 0.500
Tc 0.500 0.500 0.000

## Properties
* total magnetization: 0.00 μB per atom
* E_form: 0.217 eV/atom
* DOS at the Fermi energy: 0.942 states/eV per atom
* space group: I-4m2

=====

## LaTc2Ag (PBEsol)

Data for a relaxed structure of LaTc2Ag.

a b c (Å): 3.308 4.631 4.771
angles (deg): 90.00 90.00 90.00
Element x y z (fractional)
Ag 0.500 0.000 0.500
La 0.000 0.500 0.500
Tc 0.000 0.000 0.000
Tc 0.500 0.500 0.000

## Properties
* total magnetization: 0.00 μB per atom
* energy above the most stable polymorph in this dataset: 1.554 eV per formula unit
* E_form: 0.614 eV/atom
* DOS at the Fermi energy: 0.988 states/eV per atom
* space group: Pmmm

=====

## LaTc2Ag (PBEsol)

Data for a relaxed structure of LaTc2Ag.

a b c (Å): 3.826 5.047 5.209
angles (deg): 108.85 90.00 112.28
Element x y z (fractional)
Ag 0.500 0.000 0.000
La 0.000 0.000 0.500
Tc 0.770 0.541 0.890
Tc 0.230 0.459 0.110

## Properties
* total magnetization: 0.00 μB per atom
* energy above the most stable polymorph in this dataset: 0.834 eV per formula unit
* E_form: 0.434 eV/atom
* DOS at the Fermi energy: 0.667 states/eV per atom
* space group: C2/m

=====

## LaTc2Ag (PBEsol)

Data for a relaxed structure of LaTc2Ag.

a b c (Å): 4.232 4.232 5.977
angles (deg): 69.27 69.27 60.00
Element x y z (fractional)
Ag 0.468 0.468 0.595
La 0.252 0.252 0.244
Tc 0.048 0.048 0.857
Tc 0.727 0.727 0.820

## Properties
* total magnetization: 0.00 μB per atom
* energy above the most stable polymorph in this dataset: 0.000 eV per formula unit
* E_form: 0.225 eV/atom
* DOS at the Fermi energy: 0.687 states/eV per atom
* space group: R3m

=====

## LaAg2Te (PBEsol)

Data for a relaxed structure of LaAg2Te.

a b c (Å): 4.414 4.393 4.958
angles (deg): 90.00 90.00 90.00
Element x y z (fractional)
Te 0.000 0.500 0.500
Ag 0.000 0.000 0.000
Ag 0.500 0.500 0.000
La 0.500 0.000 0.500

## Properties
* total magnetization: 0.00 μB per atom
* DOS at the Fermi energy: 0.539 states/eV per atom
* space group: Pmmm
* energy: -17.4 eV/cell

=====

## LaAg2Te (PBEsol)

Data for a relaxed structure of LaAg2Te.

a b c (Å): 5.143 5.143 5.143
angles (deg): 60.00 60.00 60.00
Element x y z (fractional)
Te 0.250 0.250 0.250
Ag 0.000 0.000 0.000
Ag 0.750 0.750 0.750
La 0.500 0.500 0.500

## Properties
* total magnetization: 0.00 μB per atom
* DOS at the Fermi energy: 0.921 states/eV per atom
* space group: F-43m
* energy: -17.1 eV/cell

=====

## La2Tl2Ag (PBEsol)

Data for a relaxed structure of La2Tl2Ag.

a b c (Å): 4.883 7.576 7.576
angles (deg): 90.00 90.00 90.00
Element x y z (fractional)
Tl 0.000 0.354 0.854
Tl 0.000 0.854 0.646
Tl 0.000 0.646 0.146
Tl 0.000 0.146 0.354
Ag 0.000 0.000 0.000
Ag 0.000 0.500 0.500
La 0.500 0.157 0.657
La 0.500 0.657 0.843
La 0.500 0.843 0.343
La 0.500 0.343 0.157

## Properties
* total magnetization: 0.00 μB per atom
* E_form: -0.318 eV/atom
* DOS at the Fermi energy: 0.710 states/eV per atom
* space group: P4/mbm